Record 1
! NaLa3C, relaxed, DFT PBE; values from VASP
&SYSTEM
  ibrav = 0, nat = 5, ntyp = 3
/
ATOMIC_SPECIES
C 12.01 C.upf
La 138.91 La.upf
Na 22.99 Na.upf
CELL_PARAMETERS angstrom
-2.3325 -4.6123 -1.3956
0.5348 -1.7887 5.0176
-4.7890 2.0467 1.2400
ATOMIC_POSITIONS angstrom
C 0.0000 0.0000 0.0000
La -1.1663 -2.3061 -0.6978
La -2.3945 1.0234 0.6200
La 0.2674 -0.8944 2.5088
Na -3.2934 -2.1771 2.4310
! volume = 30.689 Å³ per atom
! uncorrected energy = -4.949 eV per atom
! ΔE to the lowest computed polymorph = 0.00 eV per formula unit
! ΔH_f (0 K) = 0.1158 eV/atom
! Fermi-level density of states = 1.37 states/eV/atom



Record 2
! NaAg3O2, relaxed, DFT PBE; values from VASP
&SYSTEM
  ibrav = 0, nat = 12, ntyp = 3
/
ATOMIC_SPECIES
Ag 107.87 Ag.upf
O 16.00 O.upf
Na 22.99 Na.upf
CELL_PARAMETERS angstrom
6.8564 0.0001 0.0011
1.3235 6.7275 -0.0011
-3.9984 -3.4751 4.3528
ATOMIC_POSITIONS angstrom
Ag -1.9992 -1.7375 2.1764
Ag 0.6618 3.3637 -0.0005
Ag -1.3374 1.6262 2.1759
Ag 2.0908 1.6262 2.1764
Ag 0.0000 0.0000 0.0000
Ag 3.4282 0.0000 0.0005
O -1.4170 -0.1158 3.4289
O 5.5985 3.3683 0.9239
O 1.7246 -0.2582 1.2530
O 2.4569 3.5106 3.0998
Na 3.4213 4.1769 1.0879
Na 0.7603 -0.9244 3.2649
! volume = 16.731 Å³ per atom
! ΔE_f (raw) = -0.471 eV per atom
! uncorrected energy = -3.769 eV per atom
! ΔE to the lowest computed polymorph = 0.00 eV per formula unit



Record 3
! NbCo3P, relaxed, DFT PBE; values from VASP
&SYSTEM
  ibrav = 0, nat = 5, ntyp = 3
/
ATOMIC_SPECIES
Nb 92.91 Nb.upf
Co 58.93 Co.upf
P 30.97 P.upf
CELL_PARAMETERS angstrom
-1.6201 -2.9631 2.3258
1.7914 -2.8332 -2.3617
3.3136 0.0830 2.4139
ATOMIC_POSITIONS angstrom
Nb 1.7425 -2.8567 1.1890
Co 1.6568 0.0415 1.2070
Co 0.8957 -1.4166 -1.1808
Co -0.8100 -1.4816 1.1629
P 0.0000 0.0000 0.0000
! volume = 13.789 Å³ per atom
! uncorrected energy = -7.148 eV per atom
! ΔE to the lowest computed polymorph = 0.00 eV per formula unit
! ΔH_f (0 K) = 0.2110 eV/atom
! Fermi-level density of states = 0.98 states/eV/atom



Record 4
! Cd2RhI, relaxed, DFT PBE; values from VASP
&SYSTEM
  ibrav = 0, nat = 4, ntyp = 3
/
ATOMIC_SPECIES
I 126.90 I.upf
Cd 112.41 Cd.upf
Rh 102.91 Rh.upf
CELL_PARAMETERS angstrom
4.8991 -1.0116 -0.4375
1.6353 -4.7286 0.4269
1.7086 -2.4404 -4.0424
ATOMIC_POSITIONS angstrom
I 4.1215 -4.0903 -2.0264
Cd 2.0607 -2.0451 -1.0132
Cd 6.1822 -6.1354 -3.0397
Rh 0.0000 0.0000 0.0000
! volume = 22.384 Å³ per atom
! ΔE_f (raw) = 0.485 eV per atom
! uncorrected energy = -2.198 eV per atom
! ΔE to the lowest computed polymorph = 0.47 eV per formula unit
! Fermi-level density of states = 0.05 states/eV/atom



Record 5
! Ca2DyThP4, relaxed, DFT PBE; values from VASP
&SYSTEM
  ibrav = 0, nat = 8, ntyp = 4
/
ATOMIC_SPECIES
Ca 40.08 Ca.upf
Dy 162.50 Dy.upf
P 30.97 P.upf
Th 232.04 Th.upf
CELL_PARAMETERS angstrom
-1.2701 -2.4165 -3.1212
6.1990 -3.5222 0.2044
-4.6877 -3.1465 4.3437
ATOMIC_POSITIONS angstrom
Ca -2.9789 -2.7815 0.6113
Ca 0.7556 -3.3343 2.2741
Dy 2.4645 -2.9693 -1.4584
P 3.4930 -3.3629 1.1823
P 0.4503 -6.2447 1.8971
P -1.9817 -3.3058 3.3659
P -0.2092 -2.8405 -0.4702
Th 0.0000 0.0000 0.0000
! volume = 24.801 Å³ per atom
! uncorrected energy = -5.997 eV per atom
! ΔH_f (0 K) = -1.2890 eV/atom
! Fermi-level density of states = 0.94 states/eV/atom



Record 6
! Al2CoHg, relaxed, DFT PBE; values from VASP
&SYSTEM
  ibrav = 0, nat = 4, ntyp = 3
/
ATOMIC_SPECIES
Al 26.98 Al.upf
Hg 200.59 Hg.upf
Co 58.93 Co.upf
CELL_PARAMETERS angstrom
-2.0134 -3.7753 1.0484
-4.1650 -0.6970 -1.2540
-0.8899 -2.9657 -3.1335
ATOMIC_POSITIONS angstrom
Al -1.7671 -1.8595 -0.8348
Al -5.3013 -5.5785 -2.5043
Hg -3.5342 -3.7190 -1.6695
Co 0.0000 0.0000 0.0000
! volume = 15.112 Å³ per atom
! uncorrected energy = -3.575 eV per atom
! ΔE to the lowest computed polymorph = 1.43 eV per formula unit
! ΔH_f (0 K) = 0.1478 eV/atom
! Fermi-level density of states = 0.41 states/eV/atom



Record 7
! CsSi3I, relaxed, DFT PBE; values from VASP
&SYSTEM
  ibrav = 0, nat = 5, ntyp = 3
/
ATOMIC_SPECIES
I 126.90 I.upf
Si 28.09 Si.upf
Cs 132.91 Cs.upf
CELL_PARAMETERS angstrom
-0.3969 -0.9692 -5.8504
3.2796 -4.9211 0.5927
-4.9407 -3.1887 0.8634
ATOMIC_POSITIONS angstrom
I -1.0290 -4.5394 -2.1971
Si 1.6398 -2.4605 0.2964
Si -0.1985 -0.4846 -2.9252
Si -2.4704 -1.5943 0.4317
Cs 0.0000 0.0000 0.0000
! volume = 41.989 Å³ per atom
! ΔE_f (raw) = 2.130 eV per atom
! uncorrected energy = -1.604 eV per atom
! ΔE to the lowest computed polymorph = 4.61 eV per formula unit
! Fermi-level density of states = 0.96 states/eV/atom



Record 8
! HfTi2NbC4, relaxed, DFT PBE; values from VASP
&SYSTEM
  ibrav = 0, nat = 8, ntyp = 4
/
ATOMIC_SPECIES
C 12.01 C.upf
Hf 178.49 Hf.upf
Nb 92.91 Nb.upf
Ti 47.87 Ti.upf
CELL_PARAMETERS angstrom
3.1655 0.0000 0.0000
0.0000 5.4389 -0.1029
0.0000 1.9187 5.1232
ATOMIC_POSITIONS angstrom
C 3.1655 1.7926 1.2536
C 1.5828 2.7563 3.8532
C 0.0001 5.5651 3.7667
C 1.5828 4.6014 1.1670
Hf 0.0000 3.6788 2.5102
Nb 1.5828 4.6382 5.0717
Ti 0.0000 1.9187 5.1232
Ti 1.5828 0.9594 2.5616
! volume = 11.104 Å³ per atom
! uncorrected energy = -9.853 eV per atom
! ΔH_f (0 K) = -0.7645 eV/atom
! Fermi-level density of states = 0.16 states/eV/atom



Repeat the second record exactly.
! NaAg3O2, relaxed, DFT PBE; values from VASP
&SYSTEM
  ibrav = 0, nat = 12, ntyp = 3
/
ATOMIC_SPECIES
Ag 107.87 Ag.upf
O 16.00 O.upf
Na 22.99 Na.upf
CELL_PARAMETERS angstrom
6.8564 0.0001 0.0011
1.3235 6.7275 -0.0011
-3.9984 -3.4751 4.3528
ATOMIC_POSITIONS angstrom
Ag -1.9992 -1.7375 2.1764
Ag 0.6618 3.3637 -0.0005
Ag -1.3374 1.6262 2.1759
Ag 2.0908 1.6262 2.1764
Ag 0.0000 0.0000 0.0000
Ag 3.4282 0.0000 0.0005
O -1.4170 -0.1158 3.4289
O 5.5985 3.3683 0.9239
O 1.7246 -0.2582 1.2530
O 2.4569 3.5106 3.0998
Na 3.4213 4.1769 1.0879
Na 0.7603 -0.9244 3.2649
! volume = 16.731 Å³ per atom
! ΔE_f (raw) = -0.471 eV per atom
! uncorrected energy = -3.769 eV per atom
! ΔE to the lowest computed polymorph = 0.00 eV per formula unit



> Among the records above, which one has the lowest volume?

HfTi2NbC4



Repeat the third record exactly.
! NbCo3P, relaxed, DFT PBE; values from VASP
&SYSTEM
  ibrav = 0, nat = 5, ntyp = 3
/
ATOMIC_SPECIES
Nb 92.91 Nb.upf
Co 58.93 Co.upf
P 30.97 P.upf
CELL_PARAMETERS angstrom
-1.6201 -2.9631 2.3258
1.7914 -2.8332 -2.3617
3.3136 0.0830 2.4139
ATOMIC_POSITIONS angstrom
Nb 1.7425 -2.8567 1.1890
Co 1.6568 0.0415 1.2070
Co 0.8957 -1.4166 -1.1808
Co -0.8100 -1.4816 1.1629
P 0.0000 0.0000 0.0000
! volume = 13.789 Å³ per atom
! uncorrected energy = -7.148 eV per atom
! ΔE to the lowest computed polymorph = 0.00 eV per formula unit
! ΔH_f (0 K) = 0.2110 eV/atom
! Fermi-level density of states = 0.98 states/eV/atom



> Among the records above, which one has the highest uncorrected energy?

CsSi3I